[1]
Ta2ReIr: relaxed, GGA-PBE.

```
data_Ta2ReIr
_symmetry_space_group_name_H-M 'I -4 2 d'
_symmetry_Int_Tables_number 122
_symmetry_space_group_name_Hall 'I -4 2bw'
_cell_length_a 5.795
_cell_length_b 5.795
_cell_length_c 11.761
_cell_angle_alpha 90.00
_cell_angle_beta 90.00
_cell_angle_gamma 90.00
loop_
_atom_site_label
_atom_site_type_symbol
_atom_site_fract_x
_atom_site_fract_y
_atom_site_fract_z
Ta1 Ta 0.247 0.250 0.125
Re1 Re 0.000 0.000 0.500
Ir1 Ir 0.000 0.000 0.000
```

## Properties
The formation energy is 1.266 eV per atom.

***

[2]
NpZnAu2: relaxed, GGA-PBE.

```
data_NpZnAu2
_symmetry_space_group_name_H-M 'P 1 21/m 1'
_symmetry_Int_Tables_number 11
_cell_length_a 5.015
_cell_length_b 4.636
_cell_length_c 6.679
_cell_angle_alpha 90.00
_cell_angle_beta 90.56
_cell_angle_gamma 90.00
loop_
_symmetry_equiv_pos_as_xyz
'x,y,z'
'-x,-y,-z'
'-x,y+1/2,-z'
'x,-y+1/2,z'
loop_
_atom_site_label
_atom_site_type_symbol
_atom_site_fract_x
_atom_site_fract_y
_atom_site_fract_z
Np1 Np 0.049 0.250 0.393
Zn1 Zn 0.416 0.750 0.914
Au1 Au 0.089 0.250 0.894
Au2 Au 0.445 0.750 0.340
```

## Properties
The formation energy is -0.106 eV per atom.

***

[3]
Rb3Te4: relaxed, GGA-PBE.

```
data_Rb3Te4
_symmetry_space_group_name_H-M 'I m m m'
_symmetry_Int_Tables_number 71
_symmetry_space_group_name_Hall '-I 2 2'
_cell_length_a 4.831
_cell_length_b 5.528
_cell_length_c 23.278
_cell_angle_alpha 90.00
_cell_angle_beta 90.00
_cell_angle_gamma 90.00
loop_
_atom_site_label
_atom_site_type_symbol
_atom_site_fract_x
_atom_site_fract_y
_atom_site_fract_z
Rb1 Rb 0.000 0.000 0.000
Rb2 Rb 0.000 0.500 0.320
Te1 Te 0.000 0.000 0.439
Te2 Te 0.000 0.500 0.156
```

## Properties
The uncorrected formation energy comes out at -601 meV per atom.

***

[4]
Ti2SiAs: relaxed, GGA-PBE.

```
data_Ti2SiAs
_symmetry_space_group_name_H-M 'R -3 m'
_symmetry_Int_Tables_number 166
_symmetry_space_group_name_Hall '-R 3 2"'
_cell_length_a 3.6138
_cell_length_b 3.6138
_cell_length_c 17.9939
_cell_angle_alpha 90.00
_cell_angle_beta 90.00
_cell_angle_gamma 120.00
loop_
_atom_site_label
_atom_site_type_symbol
_atom_site_fract_x
_atom_site_fract_y
_atom_site_fract_z
Ti1 Ti 0.0000 0.0000 0.2474
Si1 Si 0.0000 0.0000 0.5000
As1 As 0.0000 0.0000 0.0000
```

## Properties
The uncorrected formation energy comes out at -649 meV per atom.

***

[5]
Ac2Cu4Si3Pd: relaxed, GGA-PBE.

```
data_Ac2Cu4Si3Pd
_symmetry_space_group_name_H-M 'P -4 m 2'
_symmetry_Int_Tables_number 115
_cell_length_a 4.313
_cell_length_b 4.313
_cell_length_c 9.987
_cell_angle_alpha 90.00
_cell_angle_beta 90.00
_cell_angle_gamma 90.00
loop_
_symmetry_equiv_pos_as_xyz
'x,y,z'
'y,-x,-z'
'-x,-y,z'
'-y,x,-z'
'-x,y,z'
'-y,-x,-z'
'x,-y,z'
'y,x,-z'
loop_
_atom_site_label
_atom_site_type_symbol
_atom_site_fract_x
_atom_site_fract_y
_atom_site_fract_z
Ac1 Ac 0.000 0.500 0.248
Cu1 Cu 0.000 0.000 0.000
Cu2 Cu 0.000 0.500 0.635
Cu3 Cu 0.500 0.500 0.000
Si1 Si 0.000 0.500 0.878
Si2 Si 0.500 0.500 0.500
Pd1 Pd 0.000 0.000 0.500
```

## Properties
The uncorrected formation energy comes out at -458 meV per atom.

***

[6]
LaDyInGa: relaxed, GGA-PBE.

```
data_LaDyInGa
_symmetry_space_group_name_H-M 'P 4 m m'
_symmetry_Int_Tables_number 99
_cell_length_a 3.720
_cell_length_b 3.720
_cell_length_c 7.706
_cell_angle_alpha 90.00
_cell_angle_beta 90.00
_cell_angle_gamma 90.00
loop_
_symmetry_equiv_pos_as_xyz
'x,y,z'
'-y,x,z'
'-x,-y,z'
'y,-x,z'
'-x,y,z'
'y,x,z'
'x,-y,z'
'-y,-x,z'
loop_
_atom_site_label
_atom_site_type_symbol
_atom_site_fract_x
_atom_site_fract_y
_atom_site_fract_z
La1 La 0.000 0.000 0.000
Dy1 Dy 0.000 0.000 0.471
In1 In 0.500 0.500 0.716
Ga1 Ga 0.500 0.500 0.256
```

## Properties
The formation energy is -0.537 eV per atom.

***

[7]
K3SbTe3: relaxed, GGA-PBE.

```
data_K3SbTe3
_symmetry_space_group_name_H-M 'P 63/m'
_symmetry_Int_Tables_number 176
_symmetry_space_group_name_Hall '-P 6c'
_cell_length_a 10.5334
_cell_length_b 10.5334
_cell_length_c 7.1859
_cell_angle_alpha 90.00
_cell_angle_beta 90.00
_cell_angle_gamma 120.00
loop_
_atom_site_label
_atom_site_type_symbol
_atom_site_fract_x
_atom_site_fract_y
_atom_site_fract_z
K1 K 0.0659 0.3636 0.2500
Sb1 Sb 0.3333 0.6667 0.7500
Te1 Te 0.0737 0.3799 0.7500
```

## Properties
The uncorrected formation energy comes out at -604 meV per atom.

***

[8]
Ca3Al2Au4: relaxed, GGA-PBE.

```
data_Ca3Al2Au4
_symmetry_space_group_name_H-M 'C 1 2/m 1'
_symmetry_Int_Tables_number 12
_cell_length_a 11.244
_cell_length_b 4.487
_cell_length_c 8.834
_cell_angle_alpha 90.00
_cell_angle_beta 113.60
_cell_angle_gamma 90.00
loop_
_symmetry_equiv_pos_as_xyz
'x,y,z'
'-x,-y,-z'
'-x,y,-z'
'x,-y,z'
'x+1/2,y+1/2,z'
'-x+1/2,-y+1/2,-z'
'-x+1/2,y+1/2,-z'
'x+1/2,-y+1/2,z'
loop_
_atom_site_label
_atom_site_type_symbol
_atom_site_fract_x
_atom_site_fract_y
_atom_site_fract_z
Ca1 Ca 0.000 0.000 0.000
Ca2 Ca 0.132 0.500 0.697
Al1 Al 0.168 0.500 0.340
Au1 Au 0.092 0.000 0.417
Au2 Au 0.217 0.500 0.080
```

## Properties
The formation energy is -0.718 eV per atom.

***

[9]
TbGaPd2: relaxed, GGA-PBE.

```
data_TbGaPd2
_symmetry_space_group_name_H-M 'P 4/m m m'
_symmetry_Int_Tables_number 123
_symmetry_space_group_name_Hall '-P 4 2'
_cell_length_a 3.391
_cell_length_b 3.391
_cell_length_c 6.419
_cell_angle_alpha 90.00
_cell_angle_beta 90.00
_cell_angle_gamma 90.00
loop_
_atom_site_label
_atom_site_type_symbol
_atom_site_fract_x
_atom_site_fract_y
_atom_site_fract_z
Tb1 Tb 0.000 0.000 0.000
Ga1 Ga 0.000 0.000 0.500
Pd1 Pd 0.500 0.500 0.283
```

## Properties
The formation energy is -0.704 eV per atom.

***

[10]
YAlIr2: relaxed, GGA-PBE.

```
data_YAlIr2
_symmetry_space_group_name_H-M 'R -3 m'
_symmetry_Int_Tables_number 166
_symmetry_space_group_name_Hall '-R 3 2"'
_cell_length_a 3.0652
_cell_length_b 3.0652
_cell_length_c 25.4607
_cell_angle_alpha 90.00
_cell_angle_beta 90.00
_cell_angle_gamma 120.00
loop_
_atom_site_label
_atom_site_type_symbol
_atom_site_fract_x
_atom_site_fract_y
_atom_site_fract_z
Y1 Y 0.0000 0.0000 0.0000
Al1 Al 0.0000 0.0000 0.5000
Ir1 Ir 0.0000 0.0000 0.2408
```

## Properties
The formation energy is -0.297 eV per atom.

***

[11]
Pm3Tm12Zr: relaxed, GGA-PBE.

```
data_Pm3Tm12Zr
_symmetry_space_group_name_H-M 'P 4/m m m'
_symmetry_Int_Tables_number 123
_symmetry_space_group_name_Hall '-P 4 2'
_cell_length_a 5.730
_cell_length_b 5.730
_cell_length_c 14.878
_cell_angle_alpha 90.00
_cell_angle_beta 90.00
_cell_angle_gamma 90.00
loop_
_atom_site_label
_atom_site_type_symbol
_atom_site_fract_x
_atom_site_fract_y
_atom_site_fract_z
Pm1 Pm 0.000 0.000 0.000
Pm2 Pm 0.000 0.000 0.263
Tm1 Tm 0.000 0.500 0.129
Tm2 Tm 0.000 0.500 0.385
Tm3 Tm 0.500 0.500 0.000
Tm4 Tm 0.500 0.500 0.253
Tm5 Tm 0.500 0.500 0.500
Zr1 Zr 0.000 0.000 0.500
```

## Properties
The formation energy is 0.136 eV per atom.

***

[12]
ErMn6C3: relaxed, GGA-PBE.

```
data_ErMn6C3
_symmetry_space_group_name_H-M 'R 3'
_symmetry_Int_Tables_number 146
_symmetry_space_group_name_Hall 'R 3'
_cell_length_a 5.1717
_cell_length_b 5.1717
_cell_length_c 13.8050
_cell_angle_alpha 90.00
_cell_angle_beta 90.00
_cell_angle_gamma 120.00
loop_
_atom_site_label
_atom_site_type_symbol
_atom_site_fract_x
_atom_site_fract_y
_atom_site_fract_z
Er1 Er 0.0000 0.0000 0.0000
Mn1 Mn 0.0039 0.4135 0.8684
Mn2 Mn 0.1497 0.8130 0.3920
C1 C 0.0000 0.0000 0.2946
C2 C 0.0000 0.0000 0.6233
C3 C 0.0000 0.0000 0.8283
```

## Properties
The formation energy is 0.139 eV per atom.

***

[13]
Ca2Ga2Pt5Au: relaxed, GGA-PBE.

```
data_Ca2Ga2Pt5Au
_symmetry_space_group_name_H-M 'P 4/m b m'
_symmetry_Int_Tables_number 127
_symmetry_space_group_name_Hall '-P 4 2ab'
_cell_length_a 9.713
_cell_length_b 9.713
_cell_length_c 3.791
_cell_angle_alpha 90.00
_cell_angle_beta 90.00
_cell_angle_gamma 90.00
loop_
_atom_site_label
_atom_site_type_symbol
_atom_site_fract_x
_atom_site_fract_y
_atom_site_fract_z
Ca1 Ca 0.176 0.324 0.000
Ga1 Ga 0.124 0.624 0.000
Pt1 Pt 0.000 0.500 0.500
Pt2 Pt 0.066 0.793 0.500
Au1 Au 0.000 0.000 0.000
```

## Properties
The formation energy is -0.736 eV per atom.

***

[14]
Ba2TaPb: relaxed, GGA-PBE.

```
data_Ba2TaPb
_symmetry_space_group_name_H-M 'P 1 2/m 1'
_symmetry_Int_Tables_number 10
_cell_length_a 3.490
_cell_length_b 5.185
_cell_length_c 7.609
_cell_angle_alpha 90.00
_cell_angle_beta 90.11
_cell_angle_gamma 90.00
loop_
_symmetry_equiv_pos_as_xyz
'x,y,z'
'-x,-y,-z'
'-x,y,-z'
'x,-y,z'
loop_
_atom_site_label
_atom_site_type_symbol
_atom_site_fract_x
_atom_site_fract_y
_atom_site_fract_z
Ba1 Ba 0.001 0.000 0.251
Ta1 Ta 0.500 0.500 0.500
Pb1 Pb 0.500 0.500 0.000
```

## Properties
The formation energy is 0.658 eV per atom.

***

[15]
Tl2MoAu: relaxed, GGA-PBE.

```
data_Tl2MoAu
_symmetry_space_group_name_H-M 'F -4 3 m'
_symmetry_Int_Tables_number 216
_symmetry_space_group_name_Hall 'F -4 2 3'
_cell_length_a 7.105
_cell_length_b 7.105
_cell_length_c 7.105
_cell_angle_alpha 90.00
_cell_angle_beta 90.00
_cell_angle_gamma 90.00
loop_
_atom_site_label
_atom_site_type_symbol
_atom_site_fract_x
_atom_site_fract_y
_atom_site_fract_z
Tl1 Tl 0.000 0.000 0.000
Tl2 Tl 0.250 0.250 0.250
Mo1 Mo 0.250 0.250 0.750
Au1 Au 0.000 0.000 0.500
```

## Properties
The formation energy is 0.736 eV per atom.

***

[16]
Ce4In2Os: relaxed, GGA-PBE.

```
data_Ce4In2Os
_symmetry_space_group_name_H-M 'P 1 2/m 1'
_symmetry_Int_Tables_number 10
_cell_length_a 6.578
_cell_length_b 3.769
_cell_length_c 8.490
_cell_angle_alpha 90.00
_cell_angle_beta 100.93
_cell_angle_gamma 90.00
loop_
_symmetry_equiv_pos_as_xyz
'x,y,z'
'-x,-y,-z'
'-x,y,-z'
'x,-y,z'
loop_
_atom_site_label
_atom_site_type_symbol
_atom_site_fract_x
_atom_site_fract_y
_atom_site_fract_z
Ce1 Ce 0.064 0.000 0.345
Ce2 Ce 0.288 0.500 0.011
In1 In 0.383 0.500 0.636
Os1 Os 0.000 0.000 0.000
```

## Properties
The formation energy is -0.091 eV per atom.

***

[17]
NaAlBr3: relaxed, GGA-PBE.

```
data_NaAlBr3
_symmetry_space_group_name_H-M 'P m -3 m'
_symmetry_Int_Tables_number 221
_symmetry_space_group_name_Hall '-P 4 2 3'
_cell_length_a 5.548
_cell_length_b 5.548
_cell_length_c 5.548
_cell_angle_alpha 90.00
_cell_angle_beta 90.00
_cell_angle_gamma 90.00
loop_
_atom_site_label
_atom_site_type_symbol
_atom_site_fract_x
_atom_site_fract_y
_atom_site_fract_z
Na1 Na 0.000 0.000 0.000
Al1 Al 0.500 0.500 0.500
Br1 Br 0.000 0.000 0.500
```

## Properties
The uncorrected formation energy comes out at -323 meV per atom.

***

[18]
Sr5Ca2Cd2: relaxed, GGA-PBE.

```
data_Sr5Ca2Cd2
_symmetry_space_group_name_H-M 'C m c e'
_symmetry_Int_Tables_number 64
_symmetry_space_group_name_Hall '-C 2ac 2'
_cell_length_a 22.423
_cell_length_b 8.437
_cell_length_c 8.460
_cell_angle_alpha 90.00
_cell_angle_beta 90.00
_cell_angle_gamma 90.00
loop_
_atom_site_label
_atom_site_type_symbol
_atom_site_fract_x
_atom_site_fract_y
_atom_site_fract_z
Sr1 Sr 0.000 0.000 0.000
Sr2 Sr 0.117 0.186 0.313
Ca1 Ca 0.237 0.000 0.000
Cd1 Cd 0.000 0.119 0.620
```

## Properties
The formation energy is -0.087 eV per atom.

***

[19]
Ba2BePb: relaxed, GGA-PBE.

```
data_Ba2BePb
_symmetry_space_group_name_H-M 'F -4 3 m'
_symmetry_Int_Tables_number 216
_symmetry_space_group_name_Hall 'F -4 2 3'
_cell_length_a 8.217
_cell_length_b 8.217
_cell_length_c 8.217
_cell_angle_alpha 90.00
_cell_angle_beta 90.00
_cell_angle_gamma 90.00
loop_
_atom_site_label
_atom_site_type_symbol
_atom_site_fract_x
_atom_site_fract_y
_atom_site_fract_z
Ba1 Ba 0.000 0.000 0.000
Ba2 Ba 0.250 0.250 0.250
Be1 Be 0.000 0.000 0.500
Pb1 Pb 0.250 0.250 0.750
```

## Properties
The formation energy is 0.350 eV per atom.

***

[20]
UPRhO: relaxed, GGA-PBE.

```
data_UPRhO
_symmetry_space_group_name_H-M 'P 4/n m m'
_symmetry_Int_Tables_number 129
_cell_length_a 3.856
_cell_length_b 3.856
_cell_length_c 8.058
_cell_angle_alpha 90.00
_cell_angle_beta 90.00
_cell_angle_gamma 90.00
loop_
_symmetry_equiv_pos_as_xyz
'x,y,z'
'-x,-y,-z'
'-y+1/2,x,z'
'y+1/2,-x,-z'
'-x+1/2,-y+1/2,z'
'x+1/2,y+1/2,-z'
'y,-x+1/2,z'
'-y,x+1/2,-z'
'x+1/2,-y,-z'
'-x+1/2,y,z'
'-y,-x,-z'
'y,x,z'
'-x,y+1/2,-z'
'x,-y+1/2,z'
'y+1/2,x+1/2,-z'
'-y+1/2,-x+1/2,z'
loop_
_atom_site_label
_atom_site_type_symbol
_atom_site_fract_x
_atom_site_fract_y
_atom_site_fract_z
U1 U 0.250 0.250 0.161
P1 P 0.250 0.250 0.674
Rh1 Rh 0.250 0.750 0.500
O1 O 0.250 0.750 0.000
```

## Properties
The uncorrected formation energy comes out at -1790 meV per atom.

***

Number 1: VASP energy -9.988 eV/atom. Number 2: VASP energy -5.299 eV/atom. Number 3: VASP energy -2.811 eV/atom. Number 4: VASP energy -7.114 eV/atom. Number 5: VASP energy -5.065 eV/atom. Number 6: VASP energy -4.361 eV/atom. Number 7: VASP energy -3.010 eV/atom. Number 8: VASP energy -3.674 eV/atom. Number 9: VASP energy -5.214 eV/atom. Number 10: VASP energy -7.279 eV/atom. Number 11: VASP energy -4.642 eV/atom. Number 12: VASP energy -8.586 eV/atom. Number 13: VASP energy -5.090 eV/atom. Number 14: VASP energy -4.194 eV/atom. Number 15: VASP energy -3.975 eV/atom. Number 16: VASP energy -5.868 eV/atom. Number 17: VASP energy -2.339 eV/atom. Number 18: VASP energy -1.669 eV/atom. Number 19: VASP energy -2.470 eV/atom. Number 20: VASP energy -9.042 eV/atom.